1.
## TbHoGa2Pd4 (PBE)

Data for a geometry-optimized TbHoGa2Pd4 structure.

Results
Volume: 19.01 A^3/atom
Crystal system: hexagonal
Polymorph energy (0 for the lowest one): 0.000 eV per atom

Cell lengths 4.4108, 4.4108, 9.0238 Å; angles 90.00, 90.00, 120.00 degrees
Space group P-6m2 (No. 187)
Asymmetric unit:
Tb  0.0000  0.0000  0.0000
Ho  0.3333  0.6667  0.5000
Ga  0.6667  0.3333  0.2501
Pd  0.0000  0.0000  0.3318
Pd  0.3333  0.6667  0.1689

=====

2.
## BaIrW (PBE)

Data for a geometry-optimized BaIrW structure.

Results
Volume: 24.90 A^3/atom
Crystal system: cubic
Polymorph energy (0 for the lowest one): 1.182 eV per atom

Cell lengths 6.6855, 6.6855, 6.6855 Å; angles 90.00, 90.00, 90.00 degrees
Space group F-43m (No. 216)
Asymmetric unit:
Ba  0.0000  0.0000  0.0000
Ir  0.2500  0.2500  0.7500
W  0.2500  0.2500  0.2500